<one>
Material: LaRe3O
Method: DFT, PBE-GGA
State: optimized geometry

The structure belongs to space group Pm-3m (No. 221); the cell edges are 4.3261, 4.3261 and 4.3261 Å and the angles 90.00°, 90.00° and 90.00°. The asymmetric unit holds La at (0.0000, 0.0000, 0.0000), Re at (0.0000, 0.5000, 0.5000) and O at (0.5000, 0.5000, 0.5000).

The volume comes out at 16.19 A^3/atom. As for the density of states at the Fermi level: 10.15 states/eV/f.u.



<two>
Material: LaRe3O
Method: DFT, PBE-GGA
State: optimized geometry

The structure belongs to space group Pm-3m (No. 221); the cell edges are 4.8114, 4.8114 and 4.8114 Å and the angles 90.00°, 90.00° and 90.00°. The asymmetric unit holds La at (0.0000, 0.0000, 0.0000), Re at (0.0000, 0.0000, 0.5000) and O at (0.5000, 0.5000, 0.5000).

The volume comes out at 22.28 A^3/atom. As for the density of states at the Fermi level: 11.53 states/eV/f.u.



<one> wins, 3125 meV/atom ahead of the next structure.



<one>
Material: LaRu3O
Method: DFT, PBE-GGA
State: optimized geometry

The structure belongs to space group Pm-3m (No. 221); the cell edges are 4.2739, 4.2739 and 4.2739 Å and the angles 90.00°, 90.00° and 90.00°. The asymmetric unit holds La at (0.0000, 0.0000, 0.0000), Ru at (0.0000, 0.5000, 0.5000) and O at (0.5000, 0.5000, 0.5000).

The volume comes out at 15.61 A^3/atom. As for the density of states at the Fermi level: 5.01 states/eV/f.u.



<two>
Material: LaRu3O
Method: DFT, PBE-GGA
State: optimized geometry

The structure belongs to space group Pm-3m (No. 221); the cell edges are 4.8397, 4.8397 and 4.8397 Å and the angles 90.00°, 90.00° and 90.00°. The asymmetric unit holds La at (0.0000, 0.0000, 0.0000), Ru at (0.0000, 0.0000, 0.5000) and O at (0.5000, 0.5000, 0.5000).

The volume comes out at 22.67 A^3/atom. As for the density of states at the Fermi level: 5.97 states/eV/f.u.



<one> wins, 2288 meV/atom ahead of the next structure.



<one>
Material: La3S2O2
Method: DFT, PBE-GGA
State: optimized geometry

The structure belongs to space group C2/m (No. 12); the cell edges are 15.3601, 3.9817 and 11.6208 Å and the angles 90.00°, 121.75° and 90.00°. The asymmetric unit holds La at (0.1008, 0.0000, 0.1665), La at (0.1049, 0.5000, 0.4629), La at (0.1346, 0.0000, 0.7925), S at (0.1069, 0.5000, 0.9713), S at (0.2433, 0.5000, 0.3460), O at (0.0474, 0.0000, 0.3189) and O at (0.0783, 0.5000, 0.6497).

The volume comes out at 21.58 A^3/atom. As for the density of states at the Fermi level: 2.12 states/eV/f.u.



<two>
Material: La3S2O2
Method: DFT, PBE-GGA
State: optimized geometry

The structure belongs to space group P2_1/c (No. 14); the cell edges are 6.7564, 7.5049 and 7.2913 Å and the angles 90.00°, 120.07° and 90.00°. The asymmetric unit holds La at (0.0000, 0.0000, 0.0000), La at (0.3655, 0.1102, 0.7366), S at (0.1724, 0.6663, 0.9155) and O at (0.3594, 0.1153, 0.0615).

The volume comes out at 22.85 A^3/atom. As for the density of states at the Fermi level: 3.16 states/eV/f.u.



<one> wins, 139 meV/atom ahead of the next structure.



<one>
Material: LaSO2
Method: DFT, PBE-GGA
State: optimized geometry

The structure belongs to space group R-3m (No. 166, hexagonal axes); the cell edges are 4.2160, 4.2160 and 11.2657 Å and the angles 90.00°, 90.00° and 120.00°. The asymmetric unit holds La at (0.0000, 0.0000, 0.0000), S at (0.0000, 0.0000, 0.5000) and O at (0.0000, 0.0000, 0.2186).

The volume comes out at 14.45 A^3/atom. As for the density of states at the Fermi level: 3.19 states/eV/f.u.



<two>
Material: LaSO2
Method: DFT, PBE-GGA
State: optimized geometry

The structure belongs to space group I-42d (No. 122); the cell edges are 4.3628, 4.3628 and 14.1836 Å and the angles 90.00°, 90.00° and 90.00°. The asymmetric unit holds La at (0.0000, 0.0000, 0.0000), S at (0.0000, 0.0000, 0.5000) and O at (0.2262, 0.2500, 0.6250).

The volume comes out at 16.87 A^3/atom. As for the density of states at the Fermi level: 1.42 states/eV/f.u.



<three>
Material: LaSO2
Method: DFT, PBE-GGA
State: optimized geometry

The structure belongs to space group R-3m (No. 166, hexagonal axes); the cell edges are 3.9168, 3.9168 and 16.6679 Å and the angles 90.00°, 90.00° and 120.00°. The asymmetric unit holds La at (0.0000, 0.0000, 0.0000), S at (0.0000, 0.0000, 0.5000) and O at (0.0000, 0.0000, 0.3862).

The volume comes out at 18.45 A^3/atom. As for the density of states at the Fermi level: 1.93 states/eV/f.u.



<three> wins, 537 meV/atom ahead of the next structure.



<one>
Material: La2SbO6
Method: DFT, PBE-GGA
State: optimized geometry

The structure belongs to space group Immm (No. 71); the cell edges are 4.1122, 5.5224 and 11.1209 Å and the angles 90.00°, 90.00° and 90.00°. The asymmetric unit holds La at (0.0000, 0.0000, 0.1677), Sb at (0.0000, 0.0000, 0.5000), O at (0.0000, 0.2370, 0.3555) and O at (0.0000, 0.3097, 0.0000).

The volume comes out at 14.03 A^3/atom.



<two>
Material: La2SbO6
Method: DFT, PBE-GGA
State: optimized geometry

The structure belongs to space group P2_1/c (No. 14); the cell edges are 5.7984, 6.2613 and 9.4059 Å and the angles 90.00°, 120.99° and 90.00°. The asymmetric unit holds La at (0.2013, 0.0796, 0.2417), Sb at (0.5000, 0.0000, 0.0000), O at (0.1635, 0.1566, 0.9466), O at (0.2711, 0.7332, 0.9117) and O at (0.4340, 0.0772, 0.7777).

The volume comes out at 16.26 A^3/atom. As for the density of states at the Fermi level: 3.48 states/eV/f.u.



<two> wins, 139 meV/atom ahead of the next structure.



<one>
Material: LaSb3O
Method: DFT, PBE-GGA
State: optimized geometry

The structure belongs to space group Pm-3m (No. 221); the cell edges are 6.0694, 6.0694 and 6.0694 Å and the angles 90.00°, 90.00° and 90.00°. The asymmetric unit holds La at (0.0000, 0.0000, 0.0000), Sb at (0.0000, 0.0000, 0.5000) and O at (0.5000, 0.5000, 0.5000).

The volume comes out at 44.72 A^3/atom. As for the density of states at the Fermi level: 12.35 states/eV/f.u.



<two>
Material: LaSb3O
Method: DFT, PBE-GGA
State: optimized geometry

The structure belongs to space group Pm-3m (No. 221); the cell edges are 4.8978, 4.8978 and 4.8978 Å and the angles 90.00°, 90.00° and 90.00°. The asymmetric unit holds La at (0.0000, 0.0000, 0.0000), Sb at (0.0000, 0.5000, 0.5000) and O at (0.5000, 0.5000, 0.5000).

The volume comes out at 23.50 A^3/atom. As for the density of states at the Fermi level: 1.81 states/eV/f.u.



<two> wins, 1849 meV/atom ahead of the next structure.



<one>
Material: La3SbO3
Method: DFT, PBE-GGA
State: optimized geometry

The structure belongs to space group C2/m (No. 12); the cell edges are 13.9360, 4.1176 and 12.4110 Å and the angles 90.00°, 118.56° and 90.00°. The asymmetric unit holds La at (0.1195, 0.0000, 0.4445), La at (0.1275, 0.0000, 0.8988), La at (0.1549, 0.5000, 0.2068), Sb at (0.1214, 0.5000, 0.6812), O at (0.0641, 0.0000, 0.2003), O at (0.1622, 0.5000, 0.0123) and O at (0.1897, 0.5000, 0.4106).

The volume comes out at 22.34 A^3/atom.



<two>
Material: La3SbO3
Method: DFT, PBE-GGA
State: optimized geometry

The structure belongs to space group R-3 (No. 148, hexagonal axes); the cell edges are 7.1078, 7.1078 and 23.1487 Å and the angles 90.00°, 90.00° and 120.00°. The asymmetric unit holds La at (0.0022, 0.6497, 0.3989), Sb at (0.0000, 0.0000, 0.1665) and O at (0.0070, 0.6823, 0.6275).

The volume comes out at 24.11 A^3/atom. As for the density of states at the Fermi level: 0.64 states/eV/f.u.



<one> wins, 105 meV/atom ahead of the next structure.